Entry 1:
Below is crystalline CaY2InCo at its relaxed geometry, with properties calculated at the PBE level.

The value obtained for the energy of formation is -0.159 eV/atom.

a b c (Å): 5.183 5.183 5.131
angles (deg): 90.00 90.00 90.00
Space group P4/mmm (No. 123)
Unique sites:
Ca  0.000  0.000  0.000
Y  0.000  0.500  0.500
In  0.500  0.500  0.000
Co  0.500  0.500  0.500

***

Entry 2:
Below is crystalline ZnTe2Rh at its relaxed geometry, with properties calculated at the PBE level.

Its formation energy without anion corrections is 0.228 eV/atom.

a b c (Å): 3.884 3.884 11.699
angles (deg): 90.00 90.00 90.00
Space group I-4m2 (No. 119)
Unique sites:
Zn  0.000  0.000  0.000
Te  0.000  0.000  0.500
Te  0.000  0.500  0.250
Rh  0.000  0.500  0.750

***

Entry 3:
Below is crystalline Rb2ZnReI6 at its relaxed geometry, with properties calculated at the PBE level.

Its formation energy without anion corrections is -0.481 eV/atom.

a b c (Å): 8.361 8.361 11.855
angles (deg): 90.00 90.00 90.00
Space group I4/mmm (No. 139)
Unique sites:
Rb  0.000  0.500  0.250
Zn  0.000  0.000  0.000
Re  0.000  0.000  0.500
I  0.000  0.000  0.266
I  0.235  0.235  0.500